# TiTlCd

A relaxed structure of TiTlCd (PBE-GGA, Alexandria via LeMat-Bulk).

Unit cell a=3.133 b=3.133 c=6.882 alpha=103.16 beta=103.16 gamma=90.00
Fractional positions:
Tl1 0.675 0.675 0.351
Ti1 0.335 0.335 0.671
Cd1 0.989 0.989 0.979

Results
Calculated formation energy ... 0.17 eV/atom
Uncorrected energy ... -3.555 eV per atom
Relative energy among the computed polymorphs ... 133 meV/atom

=====

# Ti2TlCd

A relaxed structure of Ti2TlCd (PBE-GGA, Alexandria via LeMat-Bulk).

Unit cell a=4.238 b=4.263 c=4.263 alpha=90.00 beta=90.00 gamma=90.00
Fractional positions:
Tl1 0.500 0.500 0.500
Ti1 0.000 0.000 0.500
Ti2 0.000 0.500 0.000
Cd1 0.500 0.000 0.000

Results
Calculated formation energy ... 0.07 eV/atom
Uncorrected energy ... -4.700 eV per atom

=====

# Ti4TlCd

A relaxed structure of Ti4TlCd (PBE-GGA, Alexandria via LeMat-Bulk).

Unit cell a=3.917 b=4.296 c=7.010 alpha=90.00 beta=106.22 gamma=90.00
Fractional positions:
Ti1 0.322 0.000 0.644
Ti2 0.678 0.000 0.356
Ti3 0.823 0.500 0.646
Ti4 0.177 0.500 0.354
Tl1 0.500 0.500 0.000
Cd1 0.000 0.000 0.000

Results
Calculated formation energy ... -0.02 eV/atom
Uncorrected energy ... -5.825 eV per atom

=====

# TiTl2Cd2

A relaxed structure of TiTl2Cd2 (PBE-GGA, Alexandria via LeMat-Bulk).

Unit cell a=7.835 b=7.835 c=4.050 alpha=90.00 beta=90.00 gamma=90.00
Site moments in Bohr magnetons follow the coordinates.
Fractional positions:
Tl1 0.175 0.675 0.500  -0.01
Tl2 0.675 0.825 0.500  -0.01
Tl3 0.825 0.325 0.500  -0.01
Tl4 0.325 0.175 0.500  -0.01
Ti1 0.000 0.000 0.000  1.35
Ti2 0.500 0.500 0.000  1.35
Cd1 0.369 0.869 0.000  0.01
Cd2 0.869 0.631 0.000  0.01
Cd3 0.631 0.131 0.000  0.01
Cd4 0.131 0.369 0.000  0.01

Results
Calculated formation energy ... 0.37 eV/atom
Uncorrected energy ... -2.522 eV per atom

=====

# TiTlCd

A relaxed structure of TiTlCd (PBE-GGA, Alexandria via LeMat-Bulk).

Unit cell a=3.138 b=4.447 c=14.848 alpha=107.22 beta=102.42 gamma=44.37
Fractional positions:
Ti1 0.692 0.636 0.779
Ti2 0.688 0.016 0.655
Tl1 0.676 0.694 0.327
Tl2 0.701 0.956 0.107
Cd1 0.683 0.375 0.510
Cd2 0.697 0.276 0.924

Results
Calculated formation energy ... 0.04 eV/atom
Uncorrected energy ... -3.688 eV per atom
Relative energy among the computed polymorphs ... 0 meV/atom

=====

# TiTl2Cd

A relaxed structure of TiTl2Cd (PBE-GGA, Alexandria via LeMat-Bulk).

Unit cell a=4.260 b=4.573 c=4.573 alpha=90.00 beta=90.00 gamma=90.00
Fractional positions:
Tl1 0.000 0.000 0.500
Tl2 0.000 0.500 0.000
Ti1 0.500 0.500 0.500
Cd1 0.500 0.000 0.000

Results
Calculated formation energy ... 0.19 eV/atom
Uncorrected energy ... -3.197 eV per atom
Relative energy among the computed polymorphs ... 0 meV/atom

=====

# TiTl2Cd

A relaxed structure of TiTl2Cd (PBE-GGA, Alexandria via LeMat-Bulk).

Unit cell a=7.882 b=7.882 c=6.402 alpha=52.00 beta=52.00 gamma=90.00
Fractional positions:
Tl1 0.620 0.125 0.250
Tl2 0.130 0.625 0.250
Tl3 0.375 0.380 0.750
Tl4 0.875 0.870 0.750
Ti1 0.500 0.500 0.000
Ti2 0.250 0.750 0.500
Cd1 0.000 0.000 0.000
Cd2 0.750 0.250 0.500

Results
Calculated formation energy ... 0.39 eV/atom
Uncorrected energy ... -2.999 eV per atom
Relative energy among the computed polymorphs ... 199 meV/atom

=====

# Ti6TlCd

A relaxed structure of Ti6TlCd (PBE-GGA, Alexandria via LeMat-Bulk).

Unit cell a=4.821 b=5.898 c=5.898 alpha=119.96 beta=90.00 gamma=90.00
Fractional positions:
Ti1 0.000 0.077 0.414
Ti2 0.000 0.586 0.923
Ti3 0.000 0.586 0.414
Ti4 0.500 0.421 0.086
Ti5 0.500 0.914 0.579
Ti6 0.500 0.914 0.086
Tl1 0.000 0.083 0.917
Cd1 0.500 0.417 0.583

Results
Calculated formation energy ... 0.04 eV/atom
Uncorrected energy ... -6.291 eV per atom

=====

no.,volume (Å³/atom),total moment (μB/atom)
1,21.3,0.000
2,19.3,0.000
3,18.9,0.000
4,24.9,0.345
5,23.1,0.000
6,22.3,0.000
7,24.5,0.000
8,18.2,0.001